MnTeBr2: optimized geometry, PBE. Values from VASP.

Geometry as Quantum ESPRESSO input:
```
&SYSTEM
  ibrav = 0, nat = 4, ntyp = 3
/
ATOMIC_SPECIES
Br 79.90 Br.upf
Mn 54.94 Mn.upf
Te 127.60 Te.upf
CELL_PARAMETERS angstrom
-3.333 -1.392 4.487
5.474 -1.317 1.219
1.573 1.895 4.281
ATOMIC_POSITIONS angstrom
Br 0.000 0.000 0.000
Br 1.070 -1.355 2.853
Mn -0.880 0.252 4.384
Te 3.523 0.289 2.750
```

Formation energy from raw total energies, kJ/mol of formula units: 40
Offset from the most stable computed form, meV/atom: 454
Fermi-level density of states, states/eV/atom: 0.35